The following is a PBE calculation of Cs2KRb after structural relaxation, from the Alexandria database.

Cell and atoms, written as CIF:
```
data_Cs2KRb
_cell_length_a 5.763
_cell_length_b 5.763
_cell_length_c 11.642
_cell_angle_alpha 90.00
_cell_angle_beta 90.00
_cell_angle_gamma 90.00
_space_group_name_H-M_alt 'P 1'
_space_group_IT_number 1
_space_group_name_Hall 'P 1'
loop_
_atom_site_label
_atom_site_fract_x
_atom_site_fract_y
_atom_site_fract_z
Rb1 0.500 0.500 0.500
Cs1 0.000 0.000 0.760
K1 0.500 0.500 0.000
Cs2 0.000 0.000 0.240
```

Values from the calculation:
Energy relative to the lowest polymorph listed for this composition ... 0 meV per atom

The following is a PBE calculation of KLi2Tl2 after structural relaxation, from the Alexandria database.

Cell and atoms, written as CIF:
```
data_KLi2Tl2
_cell_length_a 8.756
_cell_length_b 8.756
_cell_length_c 3.410
_cell_angle_alpha 90.00
_cell_angle_beta 90.00
_cell_angle_gamma 90.00
_space_group_name_H-M_alt 'P 1'
_space_group_IT_number 1
_space_group_name_Hall 'P 1'
loop_
_atom_site_label
_atom_site_fract_x
_atom_site_fract_y
_atom_site_fract_z
Li1 0.647 0.147 0.000
K1 0.000 0.000 0.000
Tl1 0.860 0.360 0.500
Li2 0.853 0.647 0.000
K2 0.500 0.500 0.000
Tl2 0.360 0.140 0.500
Li3 0.353 0.853 0.000
Tl3 0.140 0.640 0.500
Li4 0.147 0.353 0.000
Tl4 0.640 0.860 0.500
```

Values from the calculation:
Energy relative to the lowest polymorph listed for this composition ... 0 meV per atom

The following is a PBE calculation of LaPmPr2Tm2 after structural relaxation, from the Alexandria database.

Cell and atoms, written as CIF:
```
data_LaPmPr2Tm2
_cell_length_a 5.757
_cell_length_b 9.982
_cell_length_c 7.110
_cell_angle_alpha 90.00
_cell_angle_beta 90.00
_cell_angle_gamma 90.00
_space_group_name_H-M_alt 'P 1'
_space_group_IT_number 1
_space_group_name_Hall 'P 1'
loop_
_atom_site_label
_atom_site_fract_x
_atom_site_fract_y
_atom_site_fract_z
Tm1 0.000 0.667 0.251
Tm2 0.000 0.333 0.749
Pr1 0.500 0.167 0.748
Pm1 0.500 0.500 0.000
La1 0.500 0.500 0.500
Pm2 0.000 0.000 0.500
Pr2 0.000 0.667 0.752
Tm3 0.500 0.167 0.249
Pr3 0.500 0.833 0.252
Pr4 0.000 0.333 0.248
La2 0.000 0.000 0.000
Tm4 0.500 0.833 0.751
```

In the order shown, the computed formation enthalpy at 0 K values come out to 0.00, -0.13, 0.07 eV per atom.
In the order shown, the computed D(E_F) values come out to 3.42, 2.06, 9.79 states/eV/f.u..
In the order shown, the computed E values come out to -3.8, -20.6, -55.6 eV/cell.